Material: NaFe
Method: DFT, GGA-PBE
State: optimized geometry

Summary:
Its total magnetic moment is 2.8 μB per formula unit. For the energy relative to the elements, the calculation gives 725 meV per atom.

a b c (Å): 5.610 5.281 10.765
angles (deg): 90.00 90.00 90.00
Last column: magnetic moment on the atom in μB.
Element x y z (fractional)
Fe  0.000  0.000  0.500  2.76
Fe  0.500  0.000  0.000  2.76
Fe  0.500  0.250  0.178  2.83
Fe  0.000  0.500  0.500  2.76
Fe  0.500  0.750  0.822  2.83
Fe  0.000  0.750  0.678  2.83
Fe  0.500  0.500  0.000  2.76
Fe  0.000  0.250  0.322  2.83
Na  0.250  0.250  0.750  -0.02
Na  0.250  0.750  0.250  -0.02
Na  0.000  0.250  0.055  -0.02
Na  0.750  0.750  0.250  -0.02
Na  0.750  0.250  0.750  -0.02
Na  0.500  0.750  0.555  -0.02
Na  0.000  0.750  0.945  -0.02
Na  0.500  0.250  0.445  -0.02